1.
Li2NiPb | Alexandria via LeMat-Bulk | PBEsol | optimized geometry; space group = No. 10; magnetization = 0.0 μB per formula unit; energy of formation = 0.00 eV per atom; density of states at the Fermi level = 1.541 states/eV/cell
1.0
3.0996 0.0000 0.0000
0.0000 4.3927 0.0000
-1.3494 0.0000 4.7959
Li Ni Pb
2 1 1
Direct
0.1935 0.0000 0.2768
0.8065 0.0000 0.7232
0.0000 0.5000 0.5000
0.5000 0.5000 0.0000

---

2.
Li2NiPb | Alexandria via LeMat-Bulk | PBEsol | optimized geometry; space group = No. 139; magnetization = 0.0 μB per formula unit; energy of formation = -0.10 eV per atom; density of states at the Fermi level = 2.009 states/eV/cell
1.0
-1.8973 1.8973 4.3051
1.8973 -1.8973 4.3051
1.8973 1.8973 -4.3051
Li Ni Pb
2 1 1
Direct
0.2500 0.7500 0.5000
0.7500 0.2500 0.5000
0.0000 0.0000 0.0000
0.5000 0.5000 0.0000

---

3.
Li2NiPb | Alexandria via LeMat-Bulk | PBEsol | optimized geometry; space group = No. 47; magnetization = 0.0 μB per formula unit; energy of formation = -0.10 eV per atom; density of states at the Fermi level = 1.859 states/eV/cell
1.0
3.7400 0.0000 0.0000
0.0000 3.8665 0.0000
0.0000 0.0000 4.2964
Li Ni Pb
2 1 1
Direct
0.0000 0.0000 0.0000
0.5000 0.5000 0.0000
0.0000 0.5000 0.5000
0.5000 0.0000 0.5000

---

- Which formula does entry 3 have?
  Li2NiPb

---

Copy entry 2 word for word.
Li2NiPb | Alexandria via LeMat-Bulk | PBEsol | optimized geometry; space group = No. 139; magnetization = 0.0 μB per formula unit; energy of formation = -0.10 eV per atom; density of states at the Fermi level = 2.009 states/eV/cell
1.0
-1.8973 1.8973 4.3051
1.8973 -1.8973 4.3051
1.8973 1.8973 -4.3051
Li Ni Pb
2 1 1
Direct
0.2500 0.7500 0.5000
0.7500 0.2500 0.5000
0.0000 0.0000 0.0000
0.5000 0.5000 0.0000

---

- What is the density of states at the Fermi level in the first record?
  1.541 states/eV/cell